1.
First-principles (PBE) data for an optimized crystal structure of Ca2Al4CuAu3, as listed in the Alexandria database.

Energy of formation   -0.562 eV/atom
Uncorrected energy   -3.85 eV/atom
Density   6.98 Mg/m³
Magnetic moment   0.00 μB per atom
Crystal system   tetragonal

```
10
Lattice="4.319 0.000 0.000 0.000 4.319 0.000 0.000 0.000 10.751" Properties=species:S:1:pos:R:3 pbc="T T T"
Ca 0.000 2.159 2.638
Ca 2.159 0.000 8.112
Al 0.000 0.000 5.375
Al 0.000 2.159 9.417
Al 2.159 0.000 1.334
Al 2.159 2.159 5.375
Cu 2.159 2.159 0.000
Au 0.000 0.000 0.000
Au 0.000 2.159 6.866
Au 2.159 0.000 3.885
```

2.
First-principles (PBE) data for an optimized crystal structure of Sm2BiSb3, as listed in the Alexandria database.

Uncorrected energy   -4.96 eV/atom
Density   7.48 Mg/m³
Magnetic moment   0.00 μB per atom
Crystal system   orthorhombic

```
12
Lattice="4.492 0.000 0.000 0.000 6.371 0.000 0.000 0.000 13.582" Properties=species:S:1:pos:R:3 pbc="T T T"
Sm 0.000 0.000 2.269
Sm 0.000 0.000 11.313
Sm 2.246 3.186 4.522
Sm 2.246 3.186 9.060
Bi 0.000 0.000 6.791
Bi 2.246 3.186 0.000
Sb 0.000 3.186 2.276
Sb 0.000 3.186 6.791
Sb 0.000 3.186 11.306
Sb 2.246 0.000 0.000
Sb 2.246 0.000 4.515
Sb 2.246 0.000 9.067
```

3.
First-principles (PBE) data for an optimized crystal structure of Er4Pd2O, as listed in the Alexandria database.

Uncorrected energy   -6.11 eV/atom
Density   9.85 Mg/m³
Magnetic moment   0.00 μB per atom
Crystal system   tetragonal

```
14
Lattice="4.573 0.000 0.000 0.000 4.573 0.000 0.000 0.000 14.468" Properties=species:S:1:pos:R:3 pbc="T T T"
Er 0.000 0.000 2.647
Er 0.000 0.000 11.821
Er 0.000 2.287 0.000
Er 0.000 2.287 7.234
Er 2.287 0.000 0.000
Er 2.287 0.000 7.234
Er 2.287 2.287 4.587
Er 2.287 2.287 9.881
Pd 0.000 0.000 5.368
Pd 0.000 0.000 9.101
Pd 2.287 2.287 1.867
Pd 2.287 2.287 12.602
O 0.000 0.000 0.000
O 2.287 2.287 7.234
```

4.
First-principles (PBE) data for an optimized crystal structure of SrBePb2, as listed in the Alexandria database.

Energy of formation   0.158 eV/atom
Uncorrected energy   -3.05 eV/atom
Density   7.55 Mg/m³
Magnetic moment   0.00 μB per atom
Crystal system   orthorhombic

```
8
Lattice="4.474 0.000 0.000 0.000 6.317 0.000 0.000 0.000 7.958" Properties=species:S:1:pos:R:3 pbc="T T T"
Sr 0.000 0.000 0.000
Sr 2.237 3.158 0.000
Be 0.000 0.000 3.979
Be 2.237 3.158 3.979
Pb 0.000 3.158 2.441
Pb 0.000 3.158 5.517
Pb 2.237 0.000 2.441
Pb 2.237 0.000 5.517
```

5.
First-principles (PBE) data for an optimized crystal structure of MoAsH2, as listed in the Alexandria database.

Uncorrected energy   -5.00 eV/atom
Density   6.67 Mg/m³
Magnetic moment   0.00 μB per atom
Distance to the lowest polymorph of the same formula   0.000 eV/atom
Crystal system   tetragonal

```
16
Lattice="4.725 0.000 0.000 0.000 4.725 0.000 0.000 0.000 7.710" Properties=species:S:1:pos:R:3 pbc="T T T"
Mo 0.000 0.000 0.000
Mo 0.000 2.363 1.927
Mo 2.363 0.000 5.782
Mo 2.363 2.363 3.855
As 0.000 0.000 3.855
As 0.000 2.363 5.782
As 2.363 0.000 1.927
As 2.363 2.363 0.000
H 0.884 1.181 0.964
H 1.181 3.246 2.891
H 1.181 3.842 6.746
H 1.479 1.181 4.819
H 3.246 3.544 4.819
H 3.544 0.884 6.746
H 3.544 1.479 2.891
H 3.842 3.544 0.964
```

6.
First-principles (PBE) data for an optimized crystal structure of Cu5Pt2Au5, as listed in the Alexandria database.

Energy of formation   -0.041 eV/atom
Uncorrected energy   -4.12 eV/atom
Density   15.34 Mg/m³
Magnetic moment   0.00 μB per atom
Crystal system   monoclinic

```
12
Lattice="6.080 -1.884 0.000 6.080 1.884 0.000 -3.916 0.000 8.002" Properties=species:S:1:pos:R:3 pbc="T T T"
Cu 0.000 0.000 0.000
Cu -1.919 0.000 6.075
Cu 0.112 0.000 3.993
Cu 8.132 0.000 4.009
Cu 10.163 0.000 1.927
Pt 4.089 0.000 0.028
Pt 4.155 0.000 7.974
Au 2.111 0.000 2.069
Au 2.169 0.000 5.993
Au 4.122 0.000 4.001
Au 6.075 0.000 2.009
Au 6.133 0.000 5.933
```